Arrangement P

VASP calculation (GGA-PBEsol) on a relaxed Ir2OsPt crystal.

Calculated values
SG: No. 65
D(E_F): 6.41 states/eV/cell

Cell lengths 2.670, 2.693, 9.397 Å; angles 90.00, 90.00, 119.72 degrees
Element x y z (fractional)
Pt  0.500  0.000  0.000
Ir  0.000  0.000  0.256
Ir  0.000  0.000  0.744
Os  0.500  0.000  0.500

Arrangement Q

VASP calculation (GGA-PBEsol) on a relaxed Ir2OsPt crystal.

Calculated values
SG: No. 123
D(E_F): 3.64 states/eV/cell

Cell lengths 2.715, 2.715, 7.735 Å; angles 90.00, 90.00, 90.00 degrees
Element x y z (fractional)
Pt  0.500  0.500  0.500
Ir  0.000  0.000  0.761
Ir  0.000  0.000  0.239
Os  0.500  0.500  0.000

Arrangement R

VASP calculation (GGA-PBEsol) on a relaxed Ir2OsPt crystal.

Calculated values
SG: No. 139
D(E_F): 3.80 states/eV/cell

Cell lengths 3.839, 3.839, 4.715 Å; angles 114.02, 114.02, 90.00 degrees
Element x y z (fractional)
Ir  0.750  0.250  0.500
Ir  0.250  0.750  0.500
Os  0.000  0.000  0.000
Pt  0.500  0.500  0.000

Arrangement S

VASP calculation (GGA-PBEsol) on a relaxed Ir2OsPt crystal.

Calculated values
SG: No. 119
D(E_F): 3.98 states/eV/cell

Cell lengths 3.831, 3.831, 4.727 Å; angles 113.91, 113.91, 90.00 degrees
Element x y z (fractional)
Ir  0.750  0.250  0.500
Ir  0.000  0.000  0.000
Os  0.500  0.500  0.000
Pt  0.250  0.750  0.500

Tell me which of them is the least stable. Sure, it is arrangement P.

Arrangement P

VASP calculation (GGA-PBEsol) on a relaxed Ir2OsPt crystal.

Calculated values
SG: No. 25
D(E_F): 3.77 states/eV/cell

Cell lengths 2.715, 3.852, 5.442 Å; angles 90.00, 90.00, 90.00 degrees
Element x y z (fractional)
Pt  0.500  0.500  0.748
Ir  0.000  0.000  0.003
Ir  0.500  0.500  0.256
Os  0.000  0.000  0.493

Arrangement Q

VASP calculation (GGA-PBEsol) on a relaxed Ir2OsPt crystal.

Calculated values
SG: No. 166
D(E_F): 3.34 states/eV/cell

Cell lengths 2.719, 2.719, 9.047 Å; angles 81.36, 81.36, 60.00 degrees
Element x y z (fractional)
Os  0.500  0.500  0.500
Ir  0.247  0.247  0.258
Ir  0.753  0.753  0.742
Pt  0.000  0.000  0.000

Tell me which of them is the least stable. Sure, it is arrangement P.

Arrangement P

VASP calculation (GGA-PBEsol) on a relaxed IrOsPt2 crystal.

Calculated values
SG: No. 160
D(E_F): 3.99 states/eV/cell

Cell lengths 2.731, 2.731, 9.109 Å; angles 81.38, 81.38, 60.00 degrees
Element x y z (fractional)
Ir  0.503  0.503  0.490
Os  0.248  0.248  0.256
Pt  0.998  0.998  0.007
Pt  0.751  0.751  0.746

Arrangement Q

VASP calculation (GGA-PBEsol) on a relaxed IrOsPt2 crystal.

Calculated values
SG: No. 225
D(E_F): 4.50 states/eV/cell

Cell lengths 4.372, 4.372, 4.372 Å; angles 60.00, 60.00, 60.00 degrees
Element x y z (fractional)
Os  0.500  0.500  0.500
Ir  0.000  0.000  0.000
Pt  0.750  0.750  0.750
Pt  0.250  0.250  0.250

Arrangement R

VASP calculation (GGA-PBEsol) on a relaxed IrOsPt2 crystal.

Calculated values
SG: No. 119
D(E_F): 2.98 states/eV/cell

Cell lengths 3.849, 3.849, 4.748 Å; angles 113.92, 113.92, 90.00 degrees
Element x y z (fractional)
Ir  0.000  0.000  0.000
Os  0.250  0.750  0.500
Pt  0.750  0.250  0.500
Pt  0.500  0.500  0.000

Arrangement S

VASP calculation (GGA-PBEsol) on a relaxed IrOsPt2 crystal.

Calculated values
SG: No. 99
D(E_F): 2.98 states/eV/cell

Cell lengths 2.725, 2.725, 7.825 Å; angles 90.00, 90.00, 90.00 degrees
Element x y z (fractional)
Pt  0.000  0.000  0.990
Pt  0.500  0.500  0.255
Ir  0.000  0.000  0.513
Os  0.500  0.500  0.742

Tell me which of them is the least stable. Sure, it is arrangement Q.

Arrangement P

VASP calculation (GGA-PBEsol) on a relaxed IrOsPt2 crystal.

Calculated values
SG: No. 25
D(E_F): 3.49 states/eV/cell

Cell lengths 2.733, 3.855, 5.485 Å; angles 90.00, 90.00, 90.00 degrees
Element x y z (fractional)
Os  0.500  0.500  0.740
Pt  0.500  0.500  0.252
Pt  0.000  0.000  0.995
Ir  0.000  0.000  0.513

Arrangement Q

VASP calculation (GGA-PBEsol) on a relaxed IrOsPt2 crystal.

Calculated values
SG: No. 8
D(E_F): 3.41 states/eV/cell

Cell lengths 2.729, 4.735, 4.740 Å; angles 99.32, 90.00, 106.75 degrees
Element x y z (fractional)
Ir  0.496  0.991  0.486
Pt  0.003  0.006  0.002
Pt  0.248  0.497  0.751
Os  0.753  0.506  0.261

Tell me which of them is the least stable. Sure, it is arrangement Q.

Arrangement P

VASP calculation (GGA-PBEsol) on a relaxed IrOsRh2 crystal.

Calculated values
SG: No. 99
D(E_F): 4.22 states/eV/cell

Cell lengths 2.690, 2.690, 7.618 Å; angles 90.00, 90.00, 90.00 degrees
Element x y z (fractional)
Rh  0.500  0.500  0.250
Rh  0.000  0.000  0.997
Ir  0.000  0.000  0.503
Os  0.500  0.500  0.750

Arrangement Q

VASP calculation (GGA-PBEsol) on a relaxed IrOsRh2 crystal.

Calculated values
SG: No. 25
D(E_F): 4.03 states/eV/cell

Cell lengths 2.685, 3.802, 5.372 Å; angles 90.00, 90.00, 90.00 degrees
Element x y z (fractional)
Rh  0.000  0.000  0.998
Rh  0.500  0.500  0.249
Ir  0.000  0.000  0.504
Os  0.500  0.500  0.749

Arrangement R

VASP calculation (GGA-PBEsol) on a relaxed IrOsRh2 crystal.

Calculated values
SG: No. 166
D(E_F): 3.90 states/eV/cell

Cell lengths 2.683, 2.683, 8.945 Å; angles 81.38, 81.38, 60.00 degrees
Element x y z (fractional)
Rh  0.749  0.749  0.753
Rh  0.251  0.251  0.247
Os  0.000  0.000  0.000
Ir  0.500  0.500  0.500

Tell me which of them is the least stable. Sure, it is arrangement R.